No. 1
PBE CsRhS2Cl, optimized geometry; calculated density = 4.52 Mg/m³; offset from the most stable computed form = 0 meV per atom; DOS(E_F) = 0.820 states/eV/atom
1.0
4.7204 0.0000 0.0000
0.0000 4.7204 0.0000
0.0000 0.0000 5.5328
Cl S Rh Cs
1 2 1 1
Cartesian
0.0000 0.0000 2.7664
2.3602 0.0000 0.0000
0.0000 2.3602 0.0000
0.0000 0.0000 0.0000
2.3602 2.3602 2.7664

***

No. 2
PBE NaNpSn2Te4, optimized geometry; calculated density = 6.36 Mg/m³; DOS(E_F) = 0.917 states/eV/atom; VASP energy = -38.769 eV/cell
1.0
-1.2856 0.8429 4.2308
4.5225 -5.9752 2.5647
7.1050 2.7590 1.6093
Te Np Na Sn
4 1 1 2
Cartesian
4.5667 -3.3103 4.4419
8.6543 -2.4279 3.1135
1.6875 0.0546 5.2912
5.7752 0.9370 3.9629
5.8137 -1.6080 2.0870
1.6185 -2.5662 3.3977
7.1050 2.7590 1.6093
2.9097 1.8010 2.9200

***

No. 3
PBE K6SI2Cl2, optimized geometry; calculated density = 2.10 Mg/m³; DOS(E_F) = 0.000 states/eV/atom; VASP energy = -34.059 eV/cell
1.0
-4.8629 0.7412 -6.4568
5.3441 -6.1057 0.2165
-5.6964 -2.8253 5.8140
S K I Cl
1 6 2 2
Cartesian
-2.8482 -1.4126 2.9070
-3.6427 -6.0991 -0.6862
-2.1743 -4.2957 3.8193
-5.5878 -2.0059 1.5875
-3.0408 -3.8940 -4.2455
-1.5725 -2.0907 0.2600
0.3727 -6.1839 -2.0137
3.5552 -4.9057 -0.9531
-3.0740 -0.4588 -5.2871
-0.9785 -5.1877 0.8520
-4.2366 -3.0021 -1.2782

***

Repeat the second record exactly.
PBE NaNpSn2Te4, optimized geometry; calculated density = 6.36 Mg/m³; DOS(E_F) = 0.917 states/eV/atom; VASP energy = -38.769 eV/cell
1.0
-1.2856 0.8429 4.2308
4.5225 -5.9752 2.5647
7.1050 2.7590 1.6093
Te Np Na Sn
4 1 1 2
Cartesian
4.5667 -3.3103 4.4419
8.6543 -2.4279 3.1135
1.6875 0.0546 5.2912
5.7752 0.9370 3.9629
5.8137 -1.6080 2.0870
1.6185 -2.5662 3.3977
7.1050 2.7590 1.6093
2.9097 1.8010 2.9200

***

Q: Among the records above, which one has the lowest DOS(E_F)?
A: K6SI2Cl2